Here is crystalline CaRe2Si at its relaxed geometry from Alexandria. Energies are from GGA-PBE.

Unit cell a=5.309 b=5.309 c=2.608 alpha=90.00 beta=90.00 gamma=115.66
Positions (direct):
Si 0.500 0.000 0.500
Ca 0.000 0.500 0.500
Re 0.500 0.500 0.000
Re 0.000 0.000 0.000

## Properties
Uncorrected energy   -29.27 eV/f.u.
Raw formation energy   762 meV per atom